Record 1
Compound: Dy2Fe17CN
Source: the Alexandria database
Functional: PBE
Structure: relaxed

Computed properties:
M_tot in μB/f.u.: 37.3
ΔE_f (raw) in eV per atom: -0.116
SG: No. 2

Unit cell a=6.433 b=6.462 c=6.506 alpha=83.62 beta=83.46 gamma=82.96
Last column: magnetic moment on the atom in μB.
Fractional coordinates of all 21 atoms:
Dy: 0.662 0.652 0.659  -0.35
Dy: 0.338 0.348 0.341  -0.35
Fe: 0.903 0.904 0.905  2.62
Fe: 0.097 0.096 0.095  2.62
Fe: 0.345 0.854 0.340  2.08
Fe: 0.851 0.344 0.341  2.28
Fe: 0.346 0.344 0.855  2.56
Fe: 0.655 0.146 0.660  2.08
Fe: 0.149 0.656 0.659  2.28
Fe: 0.654 0.656 0.145  2.56
Fe: 0.000 0.500 0.000  2.34
Fe: 0.500 0.000 0.000  2.29
Fe: 0.000 0.000 0.500  2.50
Fe: 0.713 0.003 0.284  1.70
Fe: 0.001 0.282 0.718  2.10
Fe: 0.291 0.711 0.998  2.43
Fe: 0.999 0.718 0.282  2.10
Fe: 0.709 0.289 0.002  2.43
Fe: 0.287 0.997 0.716  1.70
C: 0.500 0.000 0.500  -0.14
N: 0.000 0.500 0.500  0.03


Record 2
Compound: HfAg2Bi
Source: the Alexandria database
Functional: PBE
Structure: relaxed

Computed properties:
M_tot in μB/f.u.: 0.0
SG: No. 123
Formation energy in eV/atom: 0.0430

Unit cell a=4.694 b=4.254 c=4.254 alpha=90.00 beta=90.00 gamma=90.00
Fractional coordinates of all 4 atoms:
Hf: 0.500 0.500 0.500
Bi: 0.500 0.000 0.000
Ag: 0.000 0.000 0.500
Ag: 0.000 0.500 0.000


Record 3
Compound: PrSc2Cu9
Source: the Alexandria database
Functional: PBE
Structure: relaxed

Computed properties:
M_tot in μB/f.u.: 0.0
SG: No. 166
Formation energy in eV/atom: -0.1953

Unit cell a=5.151 b=5.151 c=8.604 alpha=72.58 beta=72.58 gamma=60.00
Fractional coordinates of all 12 atoms:
Pr: 0.000 0.000 0.000
Sc: 0.853 0.853 0.440
Sc: 0.147 0.147 0.560
Cu: 0.667 0.667 0.998
Cu: 0.333 0.333 0.002
Cu: 0.500 0.500 0.500
Cu: 0.414 0.414 0.256
Cu: 0.917 0.414 0.256
Cu: 0.414 0.917 0.256
Cu: 0.586 0.586 0.744
Cu: 0.586 0.083 0.744
Cu: 0.083 0.586 0.744


Record 4
Compound: Ba2Si2Au
Source: the Alexandria database
Functional: PBE
Structure: relaxed

Computed properties:
M_tot in μB/f.u.: 0.0
ΔE_f (raw) in eV per atom: -0.367
SG: No. 38

Unit cell a=4.620 b=4.528 c=7.594 alpha=107.35 beta=90.00 gamma=90.00
Fractional coordinates of all 5 atoms:
Ba: 0.000 0.687 0.374
Ba: 0.000 0.923 0.847
Si: 0.500 0.342 0.683
Si: 0.500 0.506 0.013
Au: 0.500 0.084 0.168


Record 5
Compound: Tm2ScPaFe2
Source: the Alexandria database
Functional: PBE
Structure: relaxed

Computed properties:
M_tot in μB/f.u.: 0.0
SG: No. 72
Formation energy in eV/atom: -0.0807

Unit cell a=6.405 b=6.340 c=7.799 alpha=113.98 beta=114.24 gamma=90.00
Fractional coordinates of all 12 atoms:
Tm: 0.692 0.955 0.385
Tm: 0.192 0.430 0.385
Tm: 0.808 0.570 0.615
Tm: 0.308 0.045 0.615
Sc: 0.250 0.000 0.000
Sc: 0.750 0.000 0.000
Pa: 0.750 0.500 0.000
Pa: 0.250 0.500 0.000
Fe: 0.405 0.619 0.809
Fe: 0.595 0.381 0.191
Fe: 0.095 0.809 0.191
Fe: 0.905 0.191 0.809


Record 6
Compound: LaDy2Al2
Source: the Alexandria database
Functional: PBE
Structure: relaxed

Computed properties:
M_tot in μB/f.u.: 1.0
SG: No. 139
Formation energy in eV/atom: -0.0611

Unit cell a=4.589 b=4.589 c=14.135 alpha=99.34 beta=99.34 gamma=90.00
Last column: magnetic moment on the atom in μB.
Fractional coordinates of all 10 atoms:
La: 0.628 0.628 0.255  0.14
La: 0.372 0.372 0.745  0.14
Dy: 0.750 0.250 0.500  0.28
Dy: 0.930 0.930 0.860  0.14
Dy: 0.070 0.070 0.140  0.14
Dy: 0.250 0.750 0.500  0.28
Al: 0.000 0.500 0.000  0.00
Al: 0.176 0.176 0.351  0.00
Al: 0.500 0.000 0.000  0.00
Al: 0.824 0.824 0.649  0.00


Record 7
Compound: MnPBr2
Source: the Alexandria database
Functional: PBE
Structure: relaxed

Computed properties:
M_tot in μB/f.u.: 4.9
ΔE_f (raw) in eV per atom: 0.401
SG: No. 47

Unit cell a=3.435 b=6.180 c=4.226 alpha=90.00 beta=90.00 gamma=90.00
Last column: magnetic moment on the atom in μB.
Fractional coordinates of all 4 atoms:
Br: 0.000 0.000 0.000  0.07
Br: 0.500 0.500 0.000  0.03
Mn: 0.500 0.000 0.500  4.31
P: 0.000 0.500 0.500  0.08


Record 8
Compound: BaCaCu2
Source: the Alexandria database
Functional: PBE
Structure: relaxed

Computed properties:
M_tot in μB/f.u.: 0.0
SG: No. 123
Formation energy in eV/atom: 0.0526

Unit cell a=5.364 b=5.364 c=3.702 alpha=90.01 beta=90.01 gamma=90.01
Fractional coordinates of all 4 atoms:
Ca: 0.000 0.500 0.500
Ba: 0.500 0.000 0.500
Cu: 0.000 0.000 0.000
Cu: 0.500 0.500 0.000


Record 9
Compound: AcLa3Ho3
Source: the Alexandria database
Functional: PBE
Structure: relaxed

Computed properties:
M_tot in μB/f.u.: 0.0
SG: No. 176
Formation energy in eV/atom: 0.0457

Unit cell a=5.924 b=9.892 c=9.892 alpha=120.00 beta=90.00 gamma=90.00
Fractional coordinates of all 14 atoms:
Ac: 0.250 0.667 0.333
Ac: 0.750 0.333 0.667
La: 0.750 0.628 0.535
La: 0.750 0.465 0.093
La: 0.750 0.907 0.372
La: 0.250 0.372 0.465
La: 0.250 0.535 0.907
La: 0.250 0.093 0.628
Ho: 0.250 0.816 0.774
Ho: 0.250 0.226 0.043
Ho: 0.250 0.957 0.184
Ho: 0.750 0.184 0.226
Ho: 0.750 0.774 0.957
Ho: 0.750 0.043 0.816


Record 10
Compound: Mn2OsAu2
Source: the Alexandria database
Functional: PBE
Structure: relaxed

Computed properties:
M_tot in μB/f.u.: 4.0
SG: No. 139
Formation energy in eV/atom: 0.8791

Unit cell a=6.367 b=6.367 c=6.367 alpha=146.04 beta=146.04 gamma=48.79
Last column: magnetic moment on the atom in μB.
Fractional coordinates of all 5 atoms:
Mn: 0.583 0.583 0.000  1.39
Mn: 0.417 0.417 0.000  1.39
Os: 0.000 0.000 0.000  1.02
Au: 0.250 0.750 0.500  0.04
Au: 0.750 0.250 0.500  0.04


Record 11
Compound: Tb3Pr2DySe6
Source: the Alexandria database
Functional: PBE
Structure: relaxed

Computed properties:
M_tot in μB/f.u.: 0.0
ΔE_f (raw) in eV per atom: -1.792
SG: No. 12

Unit cell a=4.124 b=8.364 c=9.283 alpha=103.30 beta=102.83 gamma=90.00
Fractional coordinates of all 12 atoms:
Tb: 0.500 0.500 0.000
Tb: 0.829 0.166 0.659
Tb: 0.171 0.834 0.341
Pr: 0.832 0.664 0.663
Pr: 0.168 0.336 0.337
Dy: 0.500 0.000 0.000
Se: 0.336 0.928 0.672
Se: 0.662 0.592 0.325
Se: 0.664 0.072 0.328
Se: 0.996 0.246 0.992
Se: 0.004 0.754 0.008
Se: 0.338 0.408 0.675


Record 12
Compound: Nb3SiNi8
Source: the Alexandria database
Functional: PBE
Structure: relaxed

Computed properties:
M_tot in μB/f.u.: 0.0
ΔE_f (raw) in eV per atom: -0.191
SG: No. 156

Unit cell a=4.789 b=4.789 c=7.698 alpha=90.00 beta=90.00 gamma=120.00
Fractional coordinates of all 12 atoms:
Nb: 0.333 0.667 0.448
Nb: 0.333 0.667 0.067
Nb: 0.000 0.000 0.917
Si: 0.000 0.000 0.533
Ni: 0.667 0.333 0.505
Ni: 0.667 0.333 0.006
Ni: 0.497 0.503 0.754
Ni: 0.005 0.503 0.754
Ni: 0.497 0.995 0.754
Ni: 0.836 0.164 0.254
Ni: 0.327 0.164 0.254
Ni: 0.836 0.673 0.254


no.,density of states at the Fermi level (states/eV per cell)
1,15.86
2,1.82
3,8.37
4,1.44
5,11.99
6,10.15
7,1.43
8,2.91
9,25.02
10,5.10
11,5.61
12,18.15